1.
NdCuTe3Pb | PBE-GGA | relaxed

Lattice parameters (Å, degrees): 8.610 4.349 10.637 90.00 104.43 90.00
Atoms (fractional coordinates):
Nd 0.196 0.250 0.165
Nd 0.804 0.750 0.835
Cu 0.427 0.750 0.416
Cu 0.573 0.250 0.584
Te 0.077 0.250 0.852
Te 0.255 0.250 0.466
Te 0.459 0.750 0.170
Te 0.541 0.250 0.830
Te 0.745 0.750 0.534
Te 0.923 0.750 0.148
Pb 0.263 0.750 0.700
Pb 0.737 0.250 0.300

The calculation puts the total energy at -51.69 eV for the cell shown. For the volume, the calculation gives 385.7 Å³ per cell. The crystal system is monoclinic.

2.
NdCuTe3Pb | PBE-GGA | relaxed

Lattice parameters (Å, degrees): 10.492 10.492 8.702 102.73 102.73 24.20
Atoms (fractional coordinates):
Nd 0.158 0.158 0.081
Nd 0.842 0.842 0.919
Cu 0.454 0.454 0.794
Cu 0.546 0.546 0.206
Te 0.000 0.000 0.000
Te 0.321 0.321 0.162
Te 0.326 0.326 0.658
Te 0.500 0.500 0.500
Te 0.674 0.674 0.342
Te 0.679 0.679 0.838
Pb 0.118 0.118 0.566
Pb 0.882 0.882 0.434

The calculation puts the total energy at -51.13 eV for the cell shown. For the volume, the calculation gives 382.5 Å³ per cell. The crystal system is monoclinic.

3.
NdCuTe3Pb | PBE-GGA | relaxed

Lattice parameters (Å, degrees): 11.588 4.347 14.655 90.00 90.00 90.00
Atoms (fractional coordinates):
Nd 0.021 0.250 0.241
Nd 0.479 0.750 0.741
Nd 0.521 0.250 0.259
Nd 0.979 0.750 0.759
Cu 0.239 0.250 0.721
Cu 0.261 0.750 0.221
Cu 0.739 0.250 0.779
Cu 0.761 0.750 0.279
Te 0.051 0.250 0.611
Te 0.095 0.750 0.098
Te 0.235 0.750 0.833
Te 0.265 0.250 0.333
Te 0.405 0.250 0.598
Te 0.449 0.750 0.111
Te 0.551 0.250 0.889
Te 0.595 0.750 0.402
Te 0.735 0.750 0.667
Te 0.765 0.250 0.167
Te 0.905 0.250 0.902
Te 0.949 0.750 0.389
Pb 0.217 0.750 0.507
Pb 0.283 0.250 0.007
Pb 0.717 0.750 0.993
Pb 0.783 0.250 0.493

The calculation puts the total energy at -103.93 eV for the cell shown. For the volume, the calculation gives 738.1 Å³ per cell. The crystal system is orthorhombic.

4.
NdCuTe3Pb | PBE-GGA | relaxed

Lattice parameters (Å, degrees): 8.985 4.522 17.585 90.00 90.00 90.00
Atoms (fractional coordinates):
Nd 0.246 0.250 0.038
Nd 0.254 0.750 0.538
Nd 0.746 0.250 0.462
Nd 0.754 0.750 0.962
Cu 0.125 0.750 0.872
Cu 0.375 0.250 0.372
Cu 0.625 0.750 0.628
Cu 0.875 0.250 0.128
Te 0.014 0.750 0.099
Te 0.114 0.250 0.435
Te 0.187 0.750 0.720
Te 0.313 0.250 0.220
Te 0.386 0.750 0.935
Te 0.486 0.250 0.599
Te 0.514 0.750 0.401
Te 0.614 0.250 0.065
Te 0.687 0.750 0.780
Te 0.813 0.250 0.280
Te 0.886 0.750 0.565
Te 0.986 0.250 0.901
Pb 0.080 0.750 0.282
Pb 0.420 0.250 0.782
Pb 0.580 0.750 0.218
Pb 0.920 0.250 0.718

The calculation puts the total energy at -103.30 eV for the cell shown. For the volume, the calculation gives 714.6 Å³ per cell. The crystal system is orthorhombic.

5.
NdCuTe3Pb | PBE-GGA | relaxed

Lattice parameters (Å, degrees): 7.647 7.647 11.579 90.00 90.00 146.98
Atoms (fractional coordinates):
Nd 0.000 0.000 0.000
Nd 0.000 0.000 0.500
Cu 0.469 0.531 0.750
Cu 0.531 0.469 0.250
Te 0.082 0.918 0.750
Te 0.354 0.646 0.572
Te 0.354 0.646 0.928
Te 0.646 0.354 0.072
Te 0.646 0.354 0.428
Te 0.918 0.082 0.250
Pb 0.239 0.761 0.250
Pb 0.761 0.239 0.750

The calculation puts the total energy at -51.92 eV for the cell shown. For the volume, the calculation gives 369.0 Å³ per cell. The crystal system is orthorhombic.

6.
NdCuTe3Pb | PBE-GGA | relaxed

Lattice parameters (Å, degrees): 12.495 4.472 12.627 90.00 90.00 90.00
Atoms (fractional coordinates):
Nd 0.032 0.250 0.189
Nd 0.468 0.750 0.689
Nd 0.532 0.250 0.311
Nd 0.968 0.750 0.811
Cu 0.234 0.750 0.294
Cu 0.266 0.250 0.794
Cu 0.734 0.750 0.206
Cu 0.766 0.250 0.706
Te 0.039 0.750 0.370
Te 0.105 0.250 0.938
Te 0.212 0.750 0.690
Te 0.288 0.250 0.190
Te 0.395 0.750 0.438
Te 0.461 0.250 0.870
Te 0.539 0.750 0.130
Te 0.605 0.250 0.562
Te 0.712 0.750 0.810
Te 0.788 0.250 0.310
Te 0.895 0.750 0.062
Te 0.961 0.250 0.630
Pb 0.199 0.250 0.482
Pb 0.301 0.750 0.982
Pb 0.699 0.250 0.018
Pb 0.801 0.750 0.518

The calculation puts the total energy at -103.69 eV for the cell shown. For the volume, the calculation gives 705.6 Å³ per cell. The crystal system is orthorhombic.

Number 1: energy above the lowest structure with this stoichiometry 22 meV per atom. Number 2: energy above the lowest structure with this stoichiometry 70 meV per atom. Number 3: energy above the lowest structure with this stoichiometry 0 meV per atom. Number 4: energy above the lowest structure with this stoichiometry 26 meV per atom. Number 5: energy above the lowest structure with this stoichiometry 3 meV per atom. Number 6: energy above the lowest structure with this stoichiometry 10 meV per atom.